Li2V3CoO8 | PBE+U | relaxed Values from VASP.

Geometry as Quantum ESPRESSO input:
```
&SYSTEM
  ibrav = 0, nat = 28, ntyp = 4
/
ATOMIC_SPECIES
Li 6.94 Li.upf
V 50.94 V.upf
Co 58.93 Co.upf
O 16.00 O.upf
CELL_PARAMETERS angstrom
-2.821 -3.852 3.444
3.570 1.311 4.582
-5.154 6.055 2.254
ATOMIC_POSITIONS angstrom
Li -0.874 1.945 4.013
Li -6.632 2.419 4.562
Li -3.560 1.540 6.265
Li -1.317 -0.204 1.125
V -1.885 4.573 5.957
V -3.990 1.093 2.867
V -3.699 3.889 3.679
V -2.517 -1.066 4.314
V -1.062 -3.155 5.739
V -0.665 -0.340 6.603
Co -1.833 0.497 9.142
Co -4.774 4.766 6.275
O -2.242 5.192 4.079
O 0.763 0.818 6.910
O -2.141 -1.717 6.276
O -5.167 2.743 3.313
O -3.857 4.390 1.758
O -0.883 0.060 4.680
O -2.510 2.501 3.001
O 0.439 -1.877 5.873
O -0.645 3.210 5.561
O -1.147 -2.508 3.903
O -3.869 0.373 4.705
O -3.174 5.930 6.397
O -1.914 1.011 7.262
O -4.824 5.382 4.421
O -0.579 -0.871 8.516
O -3.492 3.443 5.599
```

**Total magnetization**: 4.00 μB per formula unit
**SG**: P1 (1)
**VASP energy**: -6.95 eV per atom
**Offset from the most stable computed form**: 55 meV/atom